A plane-wave DFT calculation with PBE-GGA was carried out for a relaxed AcNpSi crystal.

Excess energy over the best structure of this formula in the dataset ... 0 meV/atom
SG ... F-43m (216)

Unit cell a=5.087 b=5.087 c=5.087 alpha=60.00 beta=60.00 gamma=60.00
Sites, in units of the cell vectors:
Ac1 0.000 0.000 0.000
Np1 0.500 0.500 0.500
Si1 0.250 0.250 0.250